A crystal of CsTlF3 relaxed with PBEsol, computed with meta-GGA SCAN.

The space group is Fm-3m (No. 225) and the conventional cell measures 9.5109, 9.5109 and 9.5109 Å, with angles of 90.00, 90.00 and 90.00 degrees. Symmetry generates all atoms from Cs at (0.2500, 0.2500, 0.2500), Tl at (0.0000, 0.0000, 0.0000), Tl at (0.0000, 0.0000, 0.5000) and F at (0.0000, 0.0000, 0.2293).

Its density of states at the Fermi level is 0.0 states/eV/cell. The uncorrected energy comes out at -132.64 eV/f.u. The magnetic moment is 0.00 μB/f.u. The uncorrected formation energy is -229 kJ per mole of atoms.